16
Lattice="8.6811 0.0181 0.2088 0.0120 8.6811 0.2088 -4.0967 -4.0996 6.6282" Properties=species:S:1:pos:R:3 comment="Rb2CeAgSe4 PBE-GGA optimized geometry" volume_a3_per_atom=32.15 formation_energy_uncorrected_ev_per_atom=-1.01 total_magnetization_mub_per_fu=0.000 dft_energy_ev_per_atom=-4.092 pbc="T T T"
Se -2.2636 2.4804 6.3808
Se 6.8601 2.1193 0.6649
Se 4.4006 0.4802 3.9790
Se 0.1958 4.1194 3.0667
Se -2.3870 -2.0122 6.6351
Se 6.9834 6.6119 0.4107
Se 4.3843 4.0110 3.5297
Se 0.2121 0.5887 3.5160
Rb 4.3466 4.3496 0.2088
Rb 2.2922 -2.0407 3.4185
Rb -2.0484 -2.0498 3.3141
Rb 4.3406 0.0091 0.1044
Ce 0.0060 4.3406 0.1044
Ce 6.6388 2.3089 3.6272
Ag 4.5844 -4.0815 6.8370
Ag 2.2982 2.2998 3.5229

10
Lattice="-0.6496 -6.5185 -2.2641 5.9623 2.7417 -2.2307 0.0263 -0.3978 7.3391" Properties=species:S:1:pos:R:3 comment="Ba2TeH2 PBE-GGA optimized geometry" volume_a3_per_atom=27.87 total_magnetization_mub_per_fu=0.000 dft_energy_ev_per_atom=-3.718 pbc="T T T"
Ba 1.9241 -2.5771 3.2977
Ba 4.6228 0.8446 3.6120
Ba 0.7161 -5.0191 -0.7677
Ba 3.4148 -1.5974 -0.4534
H 2.4065 -3.6140 0.8881
H 2.9324 -0.5605 1.9562
H 4.2534 -1.6261 4.4132
H 1.0856 -2.5484 -1.5690
Te 4.8553 1.6888 -0.1573
Te 0.4836 -5.8633 3.0015

7
Lattice="4.6623 0.0000 -1.0630 -0.1998 3.7516 -0.8764 -0.3028 0.2029 9.4280" Properties=species:S:1:pos:R:3 comment="BaLi2Au4 PBE-GGA optimized geometry" volume_a3_per_atom=23.51 total_magnetization_mub_per_fu=0.000 e_form_ev_per_fu=-3.33 dft_energy_ev_per_atom=-3.170 pbc="T T T"
Li 3.4307 3.1687 4.2912
Li 0.7290 0.7858 3.1974
Ba 2.3312 0.0000 -0.5315
Au 0.2110 2.2110 0.9256
Au 1.2981 1.3993 5.6936
Au 3.9487 1.7436 6.5630
Au 2.8616 2.5552 1.7950

4
Lattice="-2.2626 1.9939 0.4986 -1.1220 -1.8196 2.1849 3.4913 2.9078 4.2146" Properties=species:S:1:pos:R:3 comment="Mo2AsP PBE-GGA optimized geometry" volume_a3_per_atom=14.48 total_magnetization_mub_per_fu=0.000 e_form_ev_per_fu=-0.81 dft_energy_ev_per_atom=-8.134 pbc="T T T"
Mo 1.6816 1.4005 2.0300
Mo 0.0641 0.0534 0.0773
As 0.9262 2.2680 4.5027
P -0.8195 0.8141 2.3954